# TiAu4 (PBEsol, relaxed)
# calculated formation energy: -0.325 eV per atom
data_TiAu4
_chemical_formula_sum 'Ti2 Au8'
_space_group_name_H-M_alt 'I 4/m'
_space_group_IT_number 87
_space_group_name_Hall '-I 4'
_cell_length_a 6.464
_cell_length_b 6.464
_cell_length_c 3.939
_cell_angle_alpha 90.00
_cell_angle_beta 90.00
_cell_angle_gamma 90.00
loop_
_atom_site_label
_atom_site_type_symbol
_atom_site_fract_x
_atom_site_fract_y
_atom_site_fract_z
Ti1 Ti 0.000 0.000 0.000
Au1 Au 0.105 0.706 0.500